First-principles (PBE) data for CaMnSb2 after structural relaxation, as listed in Alexandria.

The structure in POSCAR format:
```
CaMnSb2
1.0
-1.574 4.644 -1.832
-2.622 3.290 3.115
2.292 4.393 1.688
Mn Ca Sb
1 1 2
Direct
0.750 0.750 0.750 Mn
0.500 0.500 0.500 Ca
0.000 0.000 0.000 Sb
0.250 0.250 0.250 Sb
```

Summary:
- Size of the total moment: 3.89 μB per formula unit
- DOS at the Fermi energy: 3.1 states/eV/f.u.
- Formation energy without anion corrections: 10.3 kJ/mol of atoms